A | The following is a DFT calculation (GGA-PBEsol) of a relaxed structure of LiSe2.

Cell: 2.8664 5.5280 7.9284 Å, 106.09 90.00 105.03°
Last column: nearest neighbours and their distance in Å.
Sites, in units of the cell vectors:
Li 0.6279 0.2558 0.9995  5 Se 2.63-2.71, 3 Li 2.73-2.87
Li 0.3721 0.7442 0.0005  5 Se 2.63-2.71, 3 Li 2.73-2.87
Se 0.9764 0.9529 0.7351  1 Se 2.54, 2 Li 2.67
Se 0.2622 0.5244 0.2689  1 Se 2.54, 3 Li 2.63-2.71
Se 0.0236 0.0471 0.2649  1 Se 2.54, 2 Li 2.67
Se 0.7378 0.4756 0.7311  1 Se 2.54, 3 Li 2.63-2.71

## Properties
Total magnetic moment in Bohr magnetons per cell: 0.0
Calculated density in Mg/m³: 4.7

=====

B | The following is a DFT calculation (GGA-PBEsol) of a relaxed structure of LiSe2.

Cell: 2.9226 2.9226 7.7665 Å, 90.00 90.00 120.00°
Last column: nearest neighbours and their distance in Å.
Sites, in units of the cell vectors:
Se 0.3333 0.6667 0.2635  3 Li 2.65, 6 Se 2.92
Se 0.6667 0.3333 0.7365  3 Li 2.65, 6 Se 2.92
Li 0.0000 0.0000 0.0000  6 Se 2.65, 6 Li 2.92

## Properties
Total magnetic moment in Bohr magnetons per cell: 0.0
Calculated density in Mg/m³: 4.8

=====

Which is most stable? The ranking, best first, is A, B.

=====

A | The following is a DFT calculation (GGA-PBEsol) of a relaxed structure of LiWSe2.

Cell: 3.1258 3.1258 6.6942 Å, 90.00 90.00 90.00°
Last column: nearest neighbours and their distance in Å.
Sites, in units of the cell vectors:
Li 0.5000 0.5000 0.5000  8 Se 2.87, 4 Li 3.13
Se 0.0000 0.0000 0.7735  4 W 2.68, 4 Li 2.87
Se 0.0000 0.0000 0.2265  4 W 2.68, 4 Li 2.87
W 0.5000 0.5000 0.0000  8 Se 2.68

## Properties
Total magnetic moment in Bohr magnetons per cell: 0.0
Calculated density in Mg/m³: 8.9

=====

B | The following is a DFT calculation (GGA-PBEsol) of a relaxed structure of LiWSe2.

Cell: 3.3056 3.3056 6.5627 Å, 90.00 90.00 90.00°
Last column: nearest neighbours and their distance in Å.
Sites, in units of the cell vectors:
Li 0.5000 0.5000 0.7740  4 Se 2.44
Se 0.0000 0.0000 0.8787  1 W 2.42, 4 Li 2.44
Se 0.5000 0.5000 0.3373  4 W 2.60, 1 Li 2.87
W 0.0000 0.0000 0.5100  5 Se 2.42-2.60

## Properties
Total magnetic moment in Bohr magnetons per cell: 0.0
Calculated density in Mg/m³: 8.1

=====

C | The following is a DFT calculation (GGA-PBEsol) of a relaxed structure of LiWSe2.

Cell: 3.6430 3.6430 5.5361 Å, 109.21 109.21 90.00°
Last column: nearest neighbours and their distance in Å.
Sites, in units of the cell vectors:
Li 0.2500 0.7500 0.5000  4 Se 2.58
Se 0.0000 0.0000 0.0000  4 W 2.58
Se 0.7500 0.2500 0.5000  4 Li 2.58
W 0.5000 0.5000 0.0000  4 Se 2.58

## Properties
Total magnetic moment in Bohr magnetons per cell: 0.0
Calculated density in Mg/m³: 8.9

=====

Which is most stable? The ranking, best first, is A, B, C.

=====

A | The following is a DFT calculation (GGA-PBEsol) of a relaxed structure of LiSi3.

Cell: 3.5312 3.9818 4.7407 Å, 114.83 111.87 90.00°
Last column: nearest neighbours and their distance in Å.
Sites, in units of the cell vectors:
Si 0.7542 0.2542 0.5084  8 Si 2.61-2.82, 4 Li 2.66-2.77
Si 0.5000 0.5000 0.0000  8 Si 2.61-2.82, 4 Li 2.66
Si 0.2458 0.7458 0.4916  8 Si 2.61-2.82, 4 Li 2.66-2.77
Li 0.0000 0.0000 0.0000  12 Si 2.66-2.77

## Properties
Total magnetic moment in Bohr magnetons per cell: 0.0
Calculated density in Mg/m³: 2.7

=====

B | The following is a DFT calculation (GGA-PBEsol) of a relaxed structure of LiSi3.

Cell: 2.6965 2.6965 8.8776 Å, 90.00 90.00 120.00°
Last column: nearest neighbours and their distance in Å.
Sites, in units of the cell vectors:
Si 0.0000 0.0000 0.5000  12 Si 2.70-2.74
Si 0.3333 0.6667 0.7540  3 Li 2.68, 9 Si 2.70-2.74
Si 0.3333 0.6667 0.2460  3 Li 2.68, 9 Si 2.70-2.74
Li 0.0000 0.0000 0.0000  6 Si 2.68, 6 Li 2.70

## Properties
Total magnetic moment in Bohr magnetons per cell: 0.0
Calculated density in Mg/m³: 2.7

=====

Which is most stable? The ranking, best first, is A, B.